Entry 1:
Here is a relaxed structure of CsNiRhSe3 from Alexandria via LeMat-Bulk. Energies are from PBE-GGA.

Cell and atoms, written as POSCAR:
```
CsNiRhSe3
1.0
9.024 0.000 0.000
0.000 3.846 0.000
-4.325 0.000 8.832
Cs Ni Rh Se
2 2 2 6
direct
0.022 0.250 0.265
0.978 0.750 0.735
0.477 0.750 0.388
0.523 0.250 0.612
0.469 0.250 0.154
0.531 0.750 0.846
0.276 0.750 0.142
0.354 0.750 0.556
0.359 0.250 0.869
0.641 0.750 0.131
0.646 0.250 0.444
0.724 0.250 0.858
```

Calculated values
- symmetry = P2_1/m (11)
- uncorrected energy (eV per atom) = -4.646

---

Entry 2:
Here is a relaxed structure of CsTc2NiRh from Alexandria via LeMat-Bulk. Energies are from PBE-GGA.

Cell and atoms, written as POSCAR:
```
CsTc2NiRh
1.0
4.917 0.000 0.000
0.000 4.917 0.000
0.000 0.000 4.567
Cs Tc Ni Rh
1 2 1 1
direct
0.000 0.000 0.000
0.000 0.500 0.000
0.500 0.000 0.000
0.000 0.000 0.500
0.500 0.500 0.500
```

Calculated values
- symmetry = P4/mmm (123)
- formation energy (eV per atom) = 3.01
- uncorrected energy (eV per atom) = -3.935

---

Entry 3:
Here is a relaxed structure of Cs3NiRu from Alexandria via LeMat-Bulk. Energies are from PBE-GGA.

Cell and atoms, written as POSCAR:
```
Cs3NiRu
1.0
5.914 0.000 0.000
0.000 5.914 0.000
0.000 0.000 5.914
Cs Ni Ru
3 1 1
direct
0.000 0.000 0.500
0.000 0.500 0.000
0.500 0.000 0.000
0.500 0.500 0.500
0.000 0.000 0.000
```

Calculated values
- symmetry = Pm-3m (221)
- formation energy (eV per atom) = 1.24
- uncorrected energy (eV per atom) = -2.286